(1)
Compound: CdCu2Rh
Source: the Alexandria database
Functional: PBE-GGA
Structure: optimized geometry

Output
V = 14.565 A^3/atom
Calculated formation energy = -0.010 eV per atom
Crystal system = tetragonal
Total magnetic moment = 0.00 μB per formula unit
Calculated density = 9.8 g/cm3

a b c (Å): 3.908 3.908 3.815
angles (deg): 90.00 90.00 90.00
Element x y z (fractional)
Rh (0.500, 0.000, 0.500)
Cu (0.000, 0.000, 0.000)
Cu (0.500, 0.500, 0.000)
Cd (0.000, 0.500, 0.500)

(2)
Compound: CdCuRh2
Source: the Alexandria database
Functional: PBE-GGA
Structure: optimized geometry

Output
V = 15.216 A^3/atom
Calculated formation energy = 0.114 eV per atom
Crystal system = trigonal
Total magnetic moment = 0.00 μB per formula unit
Calculated density = 10.4 g/cm3

a b c (Å): 9.116 9.116 9.116
angles (deg): 17.66 17.66 17.66
Element x y z (fractional)
Cd (0.499, 0.499, 0.499)
Cu (0.745, 0.745, 0.745)
Rh (0.001, 0.001, 0.001)
Rh (0.255, 0.255, 0.255)

What is the calculated density in the second record? 10.4 g/cm3

What is the formula in the first record? CdCu2Rh

V of number 2 (CdCuRh2)? 15.216 A^3/atom

calculated density of number 2 (CdCuRh2)? 10.4 g/cm3